(1)
A plane-wave DFT calculation with PBE was carried out for an optimized crystal structure of Er3BiH.

Energy above the lowest structure with this stoichiometry: 0.000 eV/atom

Lattice parameters (Å, degrees): 6.5422 3.9395 9.5188 90.00 101.65 90.00
Last column: nearest neighbours and their distance in Å.
Space group P2_1/m (No. 11)
Symmetry-distinct sites (fractional):
Er (0.0907, 0.2500, 0.3803) [2 per cell]  3 H 2.51-2.65
Er (0.2404, 0.2500, 0.9049) [2 per cell]  1 H 2.38
Er (0.4069, 0.7500, 0.6424) [2 per cell]  2 H 2.46
Bi (0.2744, 0.7500, 0.1622) [2 per cell]  8 Er 3.12-3.36
H (0.1848, 0.2500, 0.6496) [2 per cell]  6 Er 2.38-2.65

(2)
A plane-wave DFT calculation with PBE was carried out for an optimized crystal structure of Dy2YNi9.

ΔH_f (0 K): -4.91 eV/f.u.

Lattice parameters (Å, degrees): 4.9649 4.9649 24.3461 90.00 90.00 120.00
Last column: nearest neighbours and their distance in Å.
Space group R-3m (No. 166, hexagonal axes)
Symmetry-distinct sites (fractional):
Dy (0.0000, 0.0000, 0.1390) [6 per cell]  12 Ni 2.84-3.08, 3 Dy 3.17
Y (0.0000, 0.0000, 0.0000) [3 per cell]  18 Ni 2.87-3.19
Ni (0.0000, 0.0000, 0.3331) [6 per cell]  6 Ni 2.45-2.47
Ni (0.0000, 0.0000, 0.5000) [3 per cell]  6 Ni 2.51
Ni (0.0009, 0.5005, 0.9179) [18 per cell]  7 Ni 2.45-2.51

(3)
A plane-wave DFT calculation with PBE was carried out for an optimized crystal structure of Ba2SrI.

Energy above the lowest structure with this stoichiometry: 0.050 eV/atom
Formation energy from raw total energies: -13.2 kcal/mol of atoms

Lattice parameters (Å, degrees): 4.2473 4.2473 11.5179 90.00 90.00 90.00
Last column: nearest neighbours and their distance in Å.
Space group P4/mmm (No. 123)
Symmetry-distinct sites (fractional):
Ba (0.0000, 0.0000, 0.2123) [2 per cell]  4 I 3.87, 4 Ba 4.25
Sr (0.5000, 0.5000, 0.5000) [1 per cell]  4 Sr 4.25, 8 Ba 4.47
I (0.5000, 0.5000, 0.0000) [1 per cell]  8 Ba 3.87, 4 I 4.25

(4)
A plane-wave DFT calculation with PBE was carried out for an optimized crystal structure of BaSrNiAg.

ΔH_f (0 K): 0.02 eV/f.u.

Lattice parameters (Å, degrees): 7.7713 7.7713 7.7713 90.00 90.00 90.00
Last column: nearest neighbours and their distance in Å.
Space group F-43m (No. 216)
Symmetry-distinct sites (fractional):
Ba (0.0000, 0.0000, 0.0000) [4 per cell]  4 Ni 3.37, 4 Ag 3.37
Sr (0.0000, 0.0000, 0.5000) [4 per cell]  4 Ni 3.37, 4 Ag 3.37
Ni (0.2500, 0.2500, 0.7500) [4 per cell]  4 Ba 3.37, 4 Sr 3.37
Ag (0.2500, 0.2500, 0.2500) [4 per cell]  4 Ba 3.37, 4 Sr 3.37

(5)
A plane-wave DFT calculation with PBE was carried out for an optimized crystal structure of AlFeIr.

ΔH_f (0 K): -0.95 eV/f.u.

Lattice parameters (Å, degrees): 4.1392 4.1392 2.7562 90.00 90.00 120.00
Last column: nearest neighbours and their distance in Å.
Space group P3m1 (No. 156)
Symmetry-distinct sites (fractional):
Al (0.0000, 0.0000, 0.0000) [1 per cell]  3 Fe 2.54, 3 Ir 2.56, 2 Al 2.76
Fe (0.6667, 0.3333, 0.3107) [1 per cell]  3 Al 2.54, 3 Ir 2.59, 2 Fe 2.76
Ir (0.3333, 0.6667, 0.6685) [1 per cell]  3 Al 2.56, 3 Fe 2.59, 2 Ir 2.76

(6)
A plane-wave DFT calculation with PBE was carried out for an optimized crystal structure of PrTm2Fe9.

ΔH_f (0 K): -0.63 eV/f.u.

Lattice parameters (Å, degrees): 5.1095 5.1095 24.1555 90.00 90.00 120.00
Last column: nearest neighbours and their distance in Å.
Space group R-3m (No. 166, hexagonal axes)
Symmetry-distinct sites (fractional):
Pr (0.0000, 0.0000, 0.0000) [3 per cell]  18 Fe 2.95-3.25
Tm (0.0000, 0.0000, 0.1425) [6 per cell]  12 Fe 2.93-3.01, 3 Tm 3.17
Fe (0.0000, 0.0000, 0.3327) [6 per cell]  6 Fe 2.49-2.51
Fe (0.0000, 0.0000, 0.5000) [3 per cell]  6 Fe 2.49
Fe (0.0001, 0.5000, 0.0835) [18 per cell]  7 Fe 2.49-2.56

(7)
A plane-wave DFT calculation with PBE was carried out for an optimized crystal structure of BeTl2Se.

Energy above the lowest structure with this stoichiometry: 0.219 eV/atom
Formation energy from raw total energies: 0.6 kcal/mol of atoms

Lattice parameters (Å, degrees): 3.3475 3.3475 8.8013 90.00 90.00 90.00
Last column: nearest neighbours and their distance in Å.
Space group P4mm (No. 99)
Symmetry-distinct sites (fractional):
Be (0.0000, 0.0000, 0.0000) [1 per cell]  4 Se 2.37
Tl (0.0000, 0.0000, 0.3216) [1 per cell]  1 Be 2.83
Tl (0.5000, 0.5000, 0.6228) [1 per cell]  1 Se 3.16, 4 Tl 3.35
Se (0.5000, 0.5000, 0.9815) [1 per cell]  4 Be 2.37

(8)
A plane-wave DFT calculation with PBE was carried out for an optimized crystal structure of Tl2Cu2Te4Pd.

Formation energy from raw total energies: -4.6 kcal/mol of atoms

Lattice parameters (Å, degrees): 16.0512 4.1517 7.9026 90.00 113.99 90.00
Last column: nearest neighbours and their distance in Å.
Space group C2/m (No. 12)
Symmetry-distinct sites (fractional):
Tl (0.1300, 0.0000, 0.0667) [4 per cell]  7 Te 3.42-3.62, 3 Cu 3.47-3.70
Cu (0.1991, 0.5000, 0.4892) [4 per cell]  2 Cu 2.60, 4 Te 2.64-2.65
Te (0.0205, 0.5000, 0.2918) [4 per cell]  1 Cu 2.65, 2 Pd 2.75
Te (0.1925, 0.0000, 0.6889) [4 per cell]  3 Cu 2.64-2.65, 1 Pd 2.83
Pd (0.0000, 0.0000, 0.5000) [2 per cell]  6 Te 2.75-2.83

(9)
A plane-wave DFT calculation with PBE was carried out for an optimized crystal structure of GaAs2F8.

Formation energy from raw total energies: -46.8 kcal/mol of atoms

Lattice parameters (Å, degrees): 11.8316 5.5483 5.1732 90.00 96.68 90.00
Last column: nearest neighbours and their distance in Å.
Space group C2/m (No. 12)
Symmetry-distinct sites (fractional):
Ga (0.0000, 0.0000, 0.0000) [2 per cell]  6 F 1.83-2.00
As (0.2168, 0.0000, 0.4200) [4 per cell]  1 F 1.76
F (0.0972, 0.0000, 0.7492) [4 per cell]  1 Ga 1.83
F (0.1037, 0.2177, 0.2262) [8 per cell]  1 As 1.99, 1 Ga 2.00
F (0.1982, 0.5000, 0.8379) [4 per cell]  1 As 1.76

(10)
A plane-wave DFT calculation with PBE was carried out for an optimized crystal structure of ZnHF3.

Energy above the lowest structure with this stoichiometry: 0.000 eV/atom

Lattice parameters (Å, degrees): 10.4701 7.4659 5.9227 90.00 96.42 90.00
Last column: nearest neighbours and their distance in Å.
Space group C2/c (No. 15)
Symmetry-distinct sites (fractional):
Zn (0.0000, 0.0606, 0.2500) [4 per cell]  6 F 2.05-2.10
Zn (0.0000, 0.3883, 0.7500) [4 per cell]  6 F 2.06-2.16
H (0.1597, 0.2995, 0.1505) [8 per cell]  1 F 1.04
F (0.0501, 0.1619, 0.5696) [8 per cell]  3 Zn 2.05-2.10
F (0.1124, 0.4508, 0.0691) [8 per cell]  1 H 1.30
F (0.1806, 0.1690, 0.2029) [8 per cell]  1 H 1.04

(11)
A plane-wave DFT calculation with PBE was carried out for an optimized crystal structure of SrErIn.

Energy above the lowest structure with this stoichiometry: 0.175 eV/atom
ΔH_f (0 K): -0.39 eV/f.u.

Lattice parameters (Å, degrees): 5.4518 5.4518 3.8907 90.00 90.00 120.00
Last column: nearest neighbours and their distance in Å.
Space group P3m1 (No. 156)
Symmetry-distinct sites (fractional):
Sr (0.0000, 0.0000, 0.0000) [1 per cell]  6 In 3.55-3.86, 6 Er 3.63-3.77, 2 Sr 3.89
Er (0.3333, 0.6667, 0.4656) [1 per cell]  3 In 3.18
In (0.6667, 0.3333, 0.5759) [1 per cell]  3 Er 3.18, 3 Sr 3.55

(12)
A plane-wave DFT calculation with PBE was carried out for an optimized crystal structure of AcIn5Ag.

ΔH_f (0 K): -1.64 eV/f.u.

Lattice parameters (Å, degrees): 4.9680 4.9680 7.8411 90.00 90.00 90.00
Last column: nearest neighbours and their distance in Å.
Space group P4/mmm (No. 123)
Symmetry-distinct sites (fractional):
Ac (0.0000, 0.0000, 0.0000) [1 per cell]  12 In 3.42-3.51
In (0.0000, 0.5000, 0.3002) [4 per cell]  2 Ag 2.94, 1 In 3.13
In (0.5000, 0.5000, 0.0000) [1 per cell]  8 In 3.42, 4 Ac 3.51
Ag (0.0000, 0.0000, 0.5000) [1 per cell]  8 In 2.94